The following is a PBE calculation of BaNaTbS3 after structural relaxation, from the Alexandria database.

magnetization = 0.0 Bohr magnetons per cell
formation energy from raw total energies = -1.765 eV/atom
theoretical density = 4.29 Mg/m³
N(E_F) = 0.0000 states/eV/atom
raw total energy = -5.14 eV per atom

Cell lengths 8.6163, 4.2221, 9.1983 Å; angles 90.00, 106.24, 90.00 degrees
Closest atoms and distances in Å follow each position.
Positions (direct):
Ba  0.2152  0.2500  0.2424  7 S 3.22-3.49
Ba  0.7848  0.7500  0.7576  7 S 3.22-3.49
Na  0.0898  0.2500  0.5859  4 S 2.60-2.77, 2 Na 2.83
Na  0.9102  0.7500  0.4141  4 S 2.60-2.77, 2 Na 2.83
Tb  0.3271  0.7500  0.8444  6 S 2.75-2.83
Tb  0.6729  0.2500  0.1556  6 S 2.75-2.83
S  0.1192  0.2500  0.8754  1 Na 2.60, 2 Tb 2.83
S  0.2438  0.7500  0.5260  3 Na 2.63-2.77, 1 Tb 2.81
S  0.4557  0.7500  0.1542  3 Tb 2.75-2.82
S  0.5443  0.2500  0.8458  3 Tb 2.75-2.82
S  0.7562  0.2500  0.4740  3 Na 2.63-2.77, 1 Tb 2.81
S  0.8808  0.7500  0.1246  1 Na 2.60, 2 Tb 2.83